No. 1
A geometry-optimized LaBeTl structure, computed with PBE-GGA.

```
LaBeTl
1.0
-4.9876 1.8155 -3.4691
-0.4436 -2.5880 -3.0639
-3.8514 -3.6403 3.6324
Be Tl La
2 2 2
Cartesian
-1.5874 -0.2691 -0.1119
-2.8708 -1.4823 1.0986
-8.0032 -1.6246 -0.6976
-3.4213 -1.5367 -1.4331
-5.3958 -3.3255 0.3628
-5.7274 -1.4721 -3.8139
```

Summary:
calculated density = 7.51 g/cm3
energy relative to the elements = -0.06 eV/f.u.
energy above the most stable polymorph in this dataset = 0.0821 eV/atom
crystal system = orthorhombic
symmetry = No. 38
DOS at the Fermi energy = 4.015 states/eV per cell

No. 2
A geometry-optimized LaBeTl structure, computed with PBE-GGA.

```
LaBeTl
1.0
-1.9321 3.2499 2.8565
-2.6140 -1.3609 3.7107
1.6575 0.5705 4.4025
Be Tl La
1 1 1
Cartesian
-2.1664 1.8446 8.2273
-1.4443 1.2298 5.4849
0.0000 0.0000 0.0000
```

Summary:
calculated density = 7.78 g/cm3
energy relative to the elements = -0.25 eV/f.u.
energy above the most stable polymorph in this dataset = 0.0211 eV/atom
crystal system = cubic
symmetry = No. 216
DOS at the Fermi energy = 1.064 states/eV per cell

No. 3
A geometry-optimized LaBeTl structure, computed with PBE-GGA.

```
LaBeTl
1.0
4.5547 -2.6297 0.0000
0.0000 5.2594 0.0000
0.0000 0.0000 6.5259
Be Tl La
2 2 2
Cartesian
0.0000 0.0000 0.0000
0.0000 0.0000 3.2629
1.5182 2.6297 1.6315
3.0365 0.0000 4.8944
1.5182 2.6297 4.8944
3.0365 0.0000 1.6315
```

Summary:
calculated density = 7.48 g/cm3
energy relative to the elements = 0.78 eV/f.u.
energy above the most stable polymorph in this dataset = 0.3639 eV/atom
crystal system = hexagonal
symmetry = No. 194
DOS at the Fermi energy = 2.164 states/eV per cell

No. 4
A geometry-optimized LaBeTl structure, computed with PBE-GGA.

```
LaBeTl
1.0
6.5890 0.0000 0.0000
0.0000 4.8302 0.0000
0.0000 0.0000 9.0315
Be Tl La
4 4 4
Cartesian
5.5937 1.2076 3.7551
4.2897 3.6227 8.2709
0.9952 3.6227 5.2764
2.2992 1.2076 0.7607
6.5061 1.2076 6.4090
3.3774 3.6227 1.8933
0.0829 3.6227 2.6225
3.2116 1.2076 7.1382
2.0387 1.2076 3.7974
1.2557 3.6227 8.3131
4.5502 3.6227 5.2342
5.3332 1.2076 0.7184
```

Summary:
calculated density = 8.14 g/cm3
energy relative to the elements = 0.00 eV/f.u.
energy above the most stable polymorph in this dataset = 0.1021 eV/atom
crystal system = orthorhombic
symmetry = No. 62
DOS at the Fermi energy = 5.188 states/eV per cell

No. 5
A geometry-optimized LaBeTl structure, computed with PBE-GGA.

```
LaBeTl
1.0
-4.3901 -0.4294 1.1127
0.2705 -4.0680 -0.4972
4.3528 -2.6161 6.8716
Be Tl La
2 2 2
Cartesian
-0.6385 -5.5560 4.5972
-0.5733 -3.6040 5.6202
0.1647 -0.8409 0.2876
1.2499 -5.2168 2.8825
2.0461 -5.5406 5.9000
-1.3662 -3.2853 2.6078
```

Summary:
calculated density = 7.85 g/cm3
energy relative to the elements = -0.14 eV/f.u.
energy above the most stable polymorph in this dataset = 0.0580 eV/atom
crystal system = monoclinic
symmetry = No. 8
DOS at the Fermi energy = 4.372 states/eV per cell

No. 6
A geometry-optimized LaBeTl structure, computed with PBE-GGA.

```
LaBeTl
1.0
-1.7658 1.1920 7.5130
-2.8757 -3.5192 3.9459
4.5697 0.5231 0.9902
Be Tl La
2 2 2
Cartesian
0.3874 -0.4103 2.6762
-1.1836 -1.7505 10.6388
2.9452 0.0822 1.8003
-3.1322 -2.6559 8.9285
2.4269 -1.1839 4.8563
-0.6537 -0.9084 7.7449
```

Summary:
calculated density = 8.11 g/cm3
energy relative to the elements = -0.31 eV/f.u.
energy above the most stable polymorph in this dataset = 0.0000 eV/atom
crystal system = orthorhombic
symmetry = No. 44
DOS at the Fermi energy = 1.243 states/eV per cell

No. 7
A geometry-optimized LaBeTl structure, computed with PBE-GGA.

```
LaBeTl
1.0
0.0000 3.5788 3.5788
3.5788 0.0000 3.5788
3.5788 3.5788 0.0000
Be Tl La
1 1 1
Cartesian
5.3683 5.3683 5.3683
1.7894 1.7894 1.7894
3.5788 3.5788 3.5788
```

Summary:
calculated density = 6.38 g/cm3
energy relative to the elements = 1.73 eV/f.u.
energy above the most stable polymorph in this dataset = 0.6785 eV/atom
crystal system = cubic
symmetry = No. 216
DOS at the Fermi energy = 1.446 states/eV per cell

No. 8
A geometry-optimized LaBeTl3 structure, computed with PBE-GGA.

```
LaBeTl3
1.0
-3.6150 1.0801 -3.3778
-1.8285 -4.7006 0.4537
-3.0386 1.5435 3.7455
Be Tl La
1 3 1
Cartesian
0.0000 0.0000 0.0000
-0.9142 -2.3503 0.2269
-1.5193 0.7718 1.8728
-1.8075 0.5401 -1.6889
-4.2410 -1.0384 0.4107
```

Summary:
calculated density = 9.73 g/cm3
energy relative to the elements = 0.36 eV/f.u.
energy above the most stable polymorph in this dataset = 0.0000 eV/atom
crystal system = cubic
symmetry = No. 221
DOS at the Fermi energy = 3.010 states/eV per cell

No. 9
A geometry-optimized LaBeTl structure, computed with PBE-GGA.

```
LaBeTl
1.0
-0.9239 0.8096 4.1715
3.9637 -1.3966 -1.1176
1.3742 4.3289 -0.5358
Be Tl La
1 1 1
Cartesian
1.1454 3.6082 -0.4466
3.4797 2.9466 0.1988
1.1630 1.5161 2.2300
```

Summary:
calculated density = 7.81 g/cm3
energy relative to the elements = -0.22 eV/f.u.
energy above the most stable polymorph in this dataset = 0.0312 eV/atom
crystal system = hexagonal
symmetry = No. 187
DOS at the Fermi energy = 2.563 states/eV per cell

No. 10
A geometry-optimized LaBeTl structure, computed with PBE-GGA.

```
LaBeTl
1.0
5.7923 -0.0106 0.0736
0.0088 4.0508 -0.0013
4.8826 -2.0328 6.2219
Be Tl La
2 2 2
Cartesian
9.9515 1.6131 5.5575
8.6427 -0.4079 5.1161
2.6954 1.6267 3.4119
5.2237 1.6224 0.9662
2.2457 3.6547 0.6481
5.6734 -0.4057 3.7308
```

Summary:
calculated density = 8.10 g/cm3
energy relative to the elements = -0.27 eV/f.u.
energy above the most stable polymorph in this dataset = 0.0125 eV/atom
crystal system = monoclinic
symmetry = No. 12
DOS at the Fermi energy = 7.497 states/eV per cell

No. 11
A geometry-optimized LaBeTl structure, computed with PBE-GGA.

```
LaBeTl
1.0
-4.0116 1.6147 -0.3565
-1.2414 -2.3255 3.4504
-0.6179 5.7038 6.3575
Be Tl La
2 2 2
Cartesian
-1.6416 2.1475 6.0478
-5.0990 5.4346 7.0202
-2.1318 -0.0417 1.6645
-1.3627 2.2749 3.5019
-2.7481 4.9529 4.8121
-4.3738 0.7615 4.1302
```

Summary:
calculated density = 7.77 g/cm3
energy relative to the elements = -0.16 eV/f.u.
energy above the most stable polymorph in this dataset = 0.0488 eV/atom
crystal system = tetragonal
symmetry = No. 119
DOS at the Fermi energy = 7.230 states/eV per cell

No. 12
A geometry-optimized LaBeTl structure, computed with PBE-GGA.

```
LaBeTl
1.0
-1.5390 -4.5743 -1.0167
-2.9539 -2.3678 3.1613
-4.7221 -0.8099 -1.1714
Be Tl La
1 1 1
Cartesian
-6.9113 -5.8140 0.7299
0.0000 0.0000 0.0000
-2.3038 -1.9380 0.2433
```

Summary:
calculated density = 6.90 g/cm3
energy relative to the elements = 0.72 eV/f.u.
energy above the most stable polymorph in this dataset = 0.3428 eV/atom
crystal system = cubic
symmetry = No. 216
DOS at the Fermi energy = 0.000 states/eV per cell